Run one
Compound: Cs3RbMg
Source: the Alexandria database
Functional: PBE
Structure: relaxed

- spin magnetization (μB/cell) = 0.00

a b c (Å): 8.727 8.727 8.727
angles (deg): 90.00 90.00 90.00
Fractional positions:
Cs 0.000 0.500 0.000
Cs 0.000 0.000 0.500
Cs 0.500 0.000 0.000
Mg 0.500 0.500 0.500
Rb 0.000 0.000 0.000

***

Run two
Compound: Cs3RbMg
Source: the Alexandria database
Functional: PBE
Structure: relaxed

- spin magnetization (μB/cell) = 0.00

a b c (Å): 7.898 7.898 7.898
angles (deg): 90.00 90.00 90.00
Fractional positions:
Cs 0.000 0.500 0.000
Cs 0.000 0.000 0.500
Cs 0.500 0.000 0.000
Mg 0.000 0.000 0.000
Rb 0.500 0.500 0.500

***

Which of them is most stable, and which least? Most stable: run two; least stable: run one.

***

Run one
Compound: CsMg2Rh
Source: the Alexandria database
Functional: PBE
Structure: relaxed

- spin magnetization (μB/cell) = 0.00

a b c (Å): 6.561 6.561 8.785
angles (deg): 68.07 68.07 90.00
Fractional positions:
Cs 0.000 0.000 0.000
Cs 0.750 0.250 0.500
Mg 0.375 0.125 0.250
Mg 0.375 0.625 0.250
Mg 0.375 0.625 0.750
Mg 0.875 0.625 0.750
Rh 0.500 0.500 0.000
Rh 0.250 0.750 0.500

***

Run two
Compound: CsMg2Rh
Source: the Alexandria database
Functional: PBE
Structure: relaxed

- spin magnetization (μB/cell) = 0.00

a b c (Å): 5.250 5.250 5.250
angles (deg): 60.00 60.00 60.00
Fractional positions:
Cs 0.500 0.500 0.500
Mg 0.250 0.250 0.250
Mg 0.750 0.750 0.750
Rh 0.000 0.000 0.000

***

Which of them is most stable, and which least? Most stable: run one; least stable: run two.

***

Run one
Compound: Cs2MgRu
Source: the Alexandria database
Functional: PBE
Structure: relaxed

- spin magnetization (μB/cell) = 2.02

a b c (Å): 5.990 5.990 5.990
angles (deg): 60.00 60.00 60.00
Fractional positions:
Cs 0.250 0.250 0.250
Cs 0.750 0.750 0.750
Ru 0.500 0.500 0.500
Mg 0.000 0.000 0.000

***

Run two
Compound: Cs2MgRu
Source: the Alexandria database
Functional: PBE
Structure: relaxed

- spin magnetization (μB/cell) = 0.00

a b c (Å): 9.136 9.136 9.136
angles (deg): 94.59 94.59 147.14
Fractional positions:
Cs 0.125 0.375 0.250
Cs 0.125 0.875 0.750
Cs 0.125 0.875 0.250
Cs 0.625 0.875 0.750
Mg 0.500 0.500 0.000
Mg 0.750 0.250 0.500
Ru 0.000 0.000 0.000
Ru 0.250 0.750 0.500

***

Which of them is most stable, and which least? Most stable: run two; least stable: run one.

***

Run one
Compound: CsMg3Ru
Source: the Alexandria database
Functional: PBE
Structure: relaxed

- spin magnetization (μB/cell) = 0.00

a b c (Å): 5.274 5.274 5.274
angles (deg): 90.00 90.00 90.00
Fractional positions:
Cs 0.500 0.500 0.500
Ru 0.000 0.000 0.000
Mg 0.000 0.500 0.000
Mg 0.000 0.000 0.500
Mg 0.500 0.000 0.000

***

Run two
Compound: CsMg3Ru
Source: the Alexandria database
Functional: PBE
Structure: relaxed

- spin magnetization (μB/cell) = 0.01

a b c (Å): 5.891 5.891 5.891
angles (deg): 90.00 90.00 90.00
Fractional positions:
Cs 0.000 0.000 0.000
Ru 0.500 0.500 0.500
Mg 0.000 0.500 0.000
Mg 0.000 0.000 0.500
Mg 0.500 0.000 0.000

***

Which of them is most stable, and which least? Most stable: run one; least stable: run two.

***

Run one
Compound: Cs2MgSb
Source: the Alexandria database
Functional: PBE
Structure: relaxed

- spin magnetization (μB/cell) = 0.00

a b c (Å): 5.325 5.325 13.542
angles (deg): 78.66 78.66 90.00
Fractional positions:
Cs 0.623 0.125 0.250
Cs 0.127 0.625 0.250
Cs 0.375 0.377 0.750
Cs 0.875 0.873 0.750
Sb 0.000 0.000 0.000
Sb 0.750 0.250 0.500
Mg 0.500 0.500 0.000
Mg 0.250 0.750 0.500

***

Run two
Compound: Cs2MgSb
Source: the Alexandria database
Functional: PBE
Structure: relaxed

- spin magnetization (μB/cell) = 0.00

a b c (Å): 6.460 6.460 6.460
angles (deg): 60.00 60.00 60.00
Fractional positions:
Cs 0.250 0.250 0.250
Cs 0.750 0.750 0.750
Sb 0.500 0.500 0.500
Mg 0.000 0.000 0.000

***

Which of them is most stable, and which least? Most stable: run two; least stable: run one.

***

Run one
Compound: Cs3MgSb2
Source: the Alexandria database
Functional: PBE
Structure: relaxed

- spin magnetization (μB/cell) = 1.24

a b c (Å): 9.350 7.576 10.273
angles (deg): 111.64 117.07 90.00
Fractional positions:
Cs 0.374 0.677 0.355
Cs 0.626 0.323 0.645
Cs 0.019 0.823 0.645
Cs 0.981 0.177 0.355
Cs 0.500 0.750 0.000
Cs 0.500 0.250 0.000
Mg 0.000 0.250 0.000
Mg 0.000 0.750 0.000
Sb 0.273 0.092 0.183
Sb 0.727 0.908 0.817
Sb 0.090 0.408 0.817
Sb 0.910 0.592 0.183

***

Run two
Compound: Cs3MgSb2
Source: the Alexandria database
Functional: PBE
Structure: relaxed

- spin magnetization (μB/cell) = 0.00

a b c (Å): 4.010 10.956 14.344
angles (deg): 72.57 81.96 79.45
Fractional positions:
Cs 0.033 0.164 0.771
Cs 0.967 0.836 0.229
Cs 0.662 0.689 0.987
Cs 0.338 0.311 0.013
Cs 0.764 0.845 0.627
Cs 0.236 0.155 0.373
Mg 0.436 0.502 0.627
Mg 0.564 0.498 0.373
Sb 0.854 0.503 0.789
Sb 0.146 0.497 0.211
Sb 0.588 0.277 0.547
Sb 0.412 0.723 0.453

***

Which of them is most stable, and which least? Most stable: run one; least stable: run two.

***

Run one
Compound: CsMg3Se
Source: the Alexandria database
Functional: PBE
Structure: relaxed

- spin magnetization (μB/cell) = 0.00

a b c (Å): 5.678 5.678 5.678
angles (deg): 90.00 90.00 90.00
Fractional positions:
Cs 0.500 0.500 0.500
Mg 0.000 0.500 0.000
Mg 0.000 0.000 0.500
Mg 0.500 0.000 0.000
Se 0.000 0.000 0.000

***

Run two
Compound: CsMg3Se
Source: the Alexandria database
Functional: PBE
Structure: relaxed

- spin magnetization (μB/cell) = 1.00

a b c (Å): 6.623 6.623 6.623
angles (deg): 90.00 90.00 90.00
Fractional positions:
Cs 0.000 0.000 0.000
Mg 0.000 0.500 0.000
Mg 0.000 0.000 0.500
Mg 0.500 0.000 0.000
Se 0.500 0.500 0.500

***

Which of them is most stable, and which least? Most stable: run one; least stable: run two.

***

Run one
Compound: CsMgSi3
Source: the Alexandria database
Functional: PBE
Structure: relaxed

- spin magnetization (μB/cell) = 0.00

a b c (Å): 5.210 5.210 5.210
angles (deg): 90.00 90.00 90.00
Fractional positions:
Cs 0.500 0.500 0.500
Si 0.000 0.500 0.000
Si 0.000 0.000 0.500
Si 0.500 0.000 0.000
Mg 0.000 0.000 0.000

***

Run two
Compound: CsMgSi3
Source: the Alexandria database
Functional: PBE
Structure: relaxed

- spin magnetization (μB/cell) = 0.00

a b c (Å): 5.563 5.563 5.563
angles (deg): 90.00 90.00 90.00
Fractional positions:
Cs 0.000 0.000 0.000
Si 0.000 0.500 0.000
Si 0.000 0.000 0.500
Si 0.500 0.000 0.000
Mg 0.500 0.500 0.500

***

Which of them is most stable, and which least? Most stable: run one; least stable: run two.

***

Run one
Compound: CsMg14Si
Source: the Alexandria database
Functional: PBE
Structure: relaxed

- spin magnetization (μB/cell) = 0.00

a b c (Å): 6.513 6.513 10.849
angles (deg): 90.00 90.00 120.26
Fractional positions:
Cs 0.780 0.220 0.000
Mg 0.343 0.657 0.500
Mg 0.845 0.155 0.500
Mg 0.819 0.726 0.000
Mg 0.855 0.674 0.500
Mg 0.274 0.181 0.000
Mg 0.326 0.145 0.500
Mg 0.671 0.823 0.744
Mg 0.671 0.823 0.256
Mg 0.177 0.329 0.744
Mg 0.177 0.329 0.256
Mg 0.179 0.821 0.774
Mg 0.179 0.821 0.226
Mg 0.667 0.333 0.717
Mg 0.667 0.333 0.283
Si 0.368 0.632 0.000

***

Run two
Compound: CsMg14Si
Source: the Alexandria database
Functional: PBE
Structure: relaxed

- spin magnetization (μB/cell) = 0.00

a b c (Å): 6.542 6.542 10.641
angles (deg): 90.00 90.00 120.00
Fractional positions:
Cs 0.000 0.000 0.500
Mg 0.985 0.492 0.000
Mg 0.010 0.505 0.500
Mg 0.508 0.015 0.000
Mg 0.495 0.990 0.500
Mg 0.508 0.492 0.000
Mg 0.495 0.505 0.500
Mg 0.168 0.832 0.221
Mg 0.168 0.832 0.779
Mg 0.168 0.335 0.221
Mg 0.168 0.335 0.779
Mg 0.665 0.832 0.221
Mg 0.665 0.832 0.779
Mg 0.667 0.333 0.256
Mg 0.667 0.333 0.744
Si 0.000 0.000 0.000

***

Which of them is most stable, and which least? Most stable: run one; least stable: run two.

***

Run one
Compound: CsMg3Si
Source: the Alexandria database
Functional: PBE
Structure: relaxed

- spin magnetization (μB/cell) = 0.00

a b c (Å): 5.484 5.484 5.484
angles (deg): 90.00 90.00 90.00
Fractional positions:
Cs 0.500 0.500 0.500
Si 0.000 0.000 0.000
Mg 0.000 0.500 0.000
Mg 0.000 0.000 0.500
Mg 0.500 0.000 0.000

***

Run two
Compound: CsMg3Si
Source: the Alexandria database
Functional: PBE
Structure: relaxed

- spin magnetization (μB/cell) = 2.99

a b c (Å): 7.270 7.270 7.270
angles (deg): 90.00 90.00 90.00
Fractional positions:
Cs 0.000 0.000 0.000
Si 0.500 0.500 0.500
Mg 0.000 0.500 0.000
Mg 0.000 0.000 0.500
Mg 0.500 0.000 0.000

***

Which of them is most stable, and which least? Most stable: run one; least stable: run two.

***

Run one
Compound: CsMg3Sn
Source: the Alexandria database
Functional: PBE
Structure: relaxed

- spin magnetization (μB/cell) = 0.00

a b c (Å): 6.368 6.368 6.368
angles (deg): 90.00 90.00 90.00
Fractional positions:
Cs 0.000 0.000 0.000
Mg 0.000 0.500 0.000
Mg 0.000 0.000 0.500
Mg 0.500 0.000 0.000
Sn 0.500 0.500 0.500

***

Run two
Compound: CsMg3Sn
Source: the Alexandria database
Functional: PBE
Structure: relaxed

- spin magnetization (μB/cell) = 0.00

a b c (Å): 5.826 5.826 5.826
angles (deg): 90.00 90.00 90.00
Fractional positions:
Cs 0.500 0.500 0.500
Mg 0.000 0.500 0.000
Mg 0.000 0.000 0.500
Mg 0.500 0.000 0.000
Sn 0.000 0.000 0.000

***

Which of them is most stable, and which least? Most stable: run two; least stable: run one.

***

Run one
Compound: CsMgSn3
Source: the Alexandria database
Functional: PBE
Structure: relaxed

- spin magnetization (μB/cell) = 0.00

a b c (Å): 5.639 5.639 5.639
angles (deg): 90.00 90.00 90.00
Fractional positions:
Cs 0.500 0.500 0.500
Mg 0.000 0.000 0.000
Sn 0.000 0.500 0.000
Sn 0.000 0.000 0.500
Sn 0.500 0.000 0.000

***

Run two
Compound: CsMgSn3
Source: the Alexandria database
Functional: PBE
Structure: relaxed

- spin magnetization (μB/cell) = 0.00

a b c (Å): 7.122 7.401 7.397
angles (deg): 119.99 90.00 90.00
Fractional positions:
Cs 0.750 0.667 0.334
Cs 0.250 0.333 0.666
Mg 0.000 0.000 0.000
Mg 0.500 0.000 0.000
Sn 0.750 0.599 0.800
Sn 0.250 0.800 0.599
Sn 0.250 0.401 0.200
Sn 0.750 0.200 0.401
Sn 0.250 0.799 0.200
Sn 0.750 0.201 0.800

***

Which of them is most stable, and which least? Most stable: run two; least stable: run one.